[1]
Material: CeBiS2
Method: DFT, PBE
State: relaxed

The structure in extended XYZ format:
```
4
Lattice="-1.332 3.415 1.878 -3.289 2.004 -1.461 -6.661 -2.946 5.149" Properties=species:S:1:pos:R:3 pbc="T T T"
S -5.008 -1.412 3.532
S -6.274 3.885 2.035
Bi -5.641 1.237 2.783
Ce 0.000 0.000 0.000
```

Results
**Total moment**: 1.3 μB/f.u.
**Raw formation energy**: -0.4128 eV/atom
**Density of states at the Fermi level**: 1.888 states/eV per atom

---

[2]
Material: AgHg2Br
Method: DFT, PBE
State: relaxed

The structure in extended XYZ format:
```
4
Lattice="-1.989 3.358 3.553 -4.916 1.835 -0.566 -3.806 -1.591 3.293" Properties=species:S:1:pos:R:3 pbc="T T T"
Br -8.033 2.701 4.710
Hg -2.678 0.900 1.570
Hg 0.000 0.000 0.000
Ag -5.355 1.801 3.140
```

Results
**Total moment**: 0.0 μB/f.u.
**Raw formation energy**: 0.0539 eV/atom
**Relative energy among the computed polymorphs**: 19.10 kJ/mol of atoms
**Density of states at the Fermi level**: 0.082 states/eV per atom

---

[3]
Material: CeAl3Pt4
Method: DFT, PBE
State: relaxed

The structure in extended XYZ format:
```
8
Lattice="4.123 0.000 1.217 1.882 3.668 1.217 -0.425 -0.260 9.032" Properties=species:S:1:pos:R:3 pbc="T T T"
Al 4.252 2.597 8.371
Al 1.327 0.811 3.094
Al 2.789 1.704 5.733
Pt 3.497 2.136 3.336
Pt 0.559 0.342 5.696
Pt 2.082 1.272 8.130
Pt 5.020 3.067 5.769
Ce 0.000 0.000 0.000
```

Results
**Total moment**: 0.4 μB/f.u.
**Calculated formation energy**: -1077 meV/atom
**Density of states at the Fermi level**: 0.628 states/eV per atom

---

[4]
Material: MgAsSe2F
Method: DFT, PBE
State: relaxed

The structure in extended XYZ format:
```
5
Lattice="-4.282 -2.326 -0.161 0.811 -1.801 4.458 -2.295 4.082 2.066" Properties=species:S:1:pos:R:3 pbc="T T T"
As -1.147 2.041 1.033
Se 0.405 -0.900 2.229
Se -2.141 -1.163 -0.080
Mg 0.000 0.000 0.000
F -2.883 -0.022 3.182
```

Results
**Total moment**: 0.0 μB/f.u.
**Raw formation energy**: 0.2411 eV/atom
**Relative energy among the computed polymorphs**: 28.02 kJ/mol of atoms
**Density of states at the Fermi level**: 0.710 states/eV per atom

---

[5]
Material: Tm4As2SeS
Method: DFT, PBE
State: relaxed

The structure in extended XYZ format:
```
8
Lattice="-2.592 -2.605 1.606 1.936 -4.770 -4.611 5.302 -3.704 2.551" Properties=species:S:1:pos:R:3 pbc="T T T"
As 1.355 -3.155 2.078
As 5.302 -3.704 2.551
Tm 3.193 -5.269 1.617
Tm 1.453 -5.810 -2.072
Tm -0.814 -4.693 1.091
Tm 5.460 -6.386 -1.546
Se 3.619 -4.237 -1.030
S -0.328 -3.687 -1.503
```

Results
**Total moment**: 0.0 μB/f.u.
**Raw formation energy**: -1.6898 eV/atom
**Density of states at the Fermi level**: 0.420 states/eV per atom

---

[6]
Material: YMnNb
Method: DFT, PBE
State: relaxed

The structure in extended XYZ format:
```
12
Lattice="5.676 0.000 -0.421 0.000 5.854 0.000 -2.071 0.000 7.576" Properties=species:S:1:pos:R:3 pbc="T T T"
Y 1.545 5.150 0.794
Y 0.257 2.223 2.783
Y 3.348 3.631 4.372
Y 2.060 0.704 6.361
Mn 3.131 2.207 1.439
Mn 0.474 3.647 5.716
Mn -0.743 0.720 5.437
Mn 4.348 5.134 1.718
Nb 3.213 0.672 3.238
Nb 4.265 3.599 -0.081
Nb 0.391 5.182 3.917
Nb -0.660 2.255 7.236
```

Results
**Total moment**: 0.0 μB/f.u.
**Calculated formation energy**: 242 meV/atom
**Density of states at the Fermi level**: 1.020 states/eV per atom

---

[7]
Material: Nb8GaC2
Method: DFT, PBE
State: relaxed

The structure in extended XYZ format:
```
11
Lattice="4.701 0.002 0.003 -0.771 6.310 0.017 -0.771 -2.415 5.829" Properties=species:S:1:pos:R:3 pbc="T T T"
Nb 2.967 1.940 5.436
Nb 0.398 2.384 3.578
Nb 0.191 -0.373 1.965
Nb 0.191 1.957 0.413
Nb 1.579 -0.158 4.328
Nb 2.967 4.270 3.884
Nb 1.579 4.055 1.521
Nb 2.760 1.513 2.271
C -0.771 0.337 3.996
C -0.771 3.558 1.850
Ga 2.351 0.001 0.001
```

Results
**Total moment**: 0.0 μB/f.u.
**Calculated formation energy**: -43 meV/atom
**Density of states at the Fermi level**: 0.711 states/eV per atom

---

Q: Which value of density of states at the Fermi level does entry 2 give?
A: 0.082 states/eV per atom